Run a
! AlVSCl2 | the Alexandria database | PBE | relaxed; values from VASP
! Fermi-level density of states ... 0.19 states/eV/atom
! Magnetic moment ... 0.400 μB per atom
! SG ... P4/mmm
&SYSTEM
  ibrav = 0, nat = 5, ntyp = 4
/
ATOMIC_SPECIES
Al 26.98 Al.upf
V 50.94 V.upf
S 32.06 S.upf
Cl 35.45 Cl.upf
CELL_PARAMETERS angstrom
4.9445 0.0000 0.0000
0.0000 4.9445 0.0000
0.0000 0.0000 4.5884
ATOMIC_POSITIONS angstrom
Al 0.0000 0.0000 0.0000
V 2.4722 2.4722 2.2942
S 2.4722 2.4722 0.0000
Cl 0.0000 2.4722 2.2942
Cl 2.4722 0.0000 2.2942

=====

Run b
! AlVSCl2 | the Alexandria database | PBE | relaxed; values from VASP
! Fermi-level density of states ... 0.81 states/eV/atom
! Magnetic moment ... 0.745 μB per atom
! SG ... P4/mmm
&SYSTEM
  ibrav = 0, nat = 5, ntyp = 4
/
ATOMIC_SPECIES
Al 26.98 Al.upf
V 50.94 V.upf
S 32.06 S.upf
Cl 35.45 Cl.upf
CELL_PARAMETERS angstrom
4.6485 0.0000 0.0000
0.0000 4.6485 0.0000
0.0000 0.0000 4.8129
ATOMIC_POSITIONS angstrom
Al 0.0000 0.0000 0.0000
V 2.3243 2.3243 2.4065
S 0.0000 0.0000 2.4065
Cl 0.0000 2.3243 0.0000
Cl 2.3243 0.0000 0.0000

=====

We find run a to be the most stable, with the next structure 0.289 eV/atom higher.

=====

Run a
! AlWS2Cl | the Alexandria database | PBE | relaxed; values from VASP
! Fermi-level density of states ... 0.55 states/eV/atom
! Magnetic moment ... 0.000 μB per atom
! SG ... P4/mmm
&SYSTEM
  ibrav = 0, nat = 5, ntyp = 4
/
ATOMIC_SPECIES
Al 26.98 Al.upf
W 183.84 W.upf
S 32.06 S.upf
Cl 35.45 Cl.upf
CELL_PARAMETERS angstrom
4.6903 0.0000 0.0000
0.0000 4.6903 0.0000
0.0000 0.0000 4.9570
ATOMIC_POSITIONS angstrom
Al 0.0000 0.0000 0.0000
W 2.3451 2.3451 2.4785
S 0.0000 2.3451 2.4785
S 2.3451 0.0000 2.4785
Cl 2.3451 2.3451 0.0000

=====

Run b
! AlWS2Cl | the Alexandria database | PBE | relaxed; values from VASP
! Fermi-level density of states ... 0.31 states/eV/atom
! Magnetic moment ... 0.772 μB per atom
! SG ... P4/mmm
&SYSTEM
  ibrav = 0, nat = 5, ntyp = 4
/
ATOMIC_SPECIES
Al 26.98 Al.upf
W 183.84 W.upf
S 32.06 S.upf
Cl 35.45 Cl.upf
CELL_PARAMETERS angstrom
4.7101 0.0000 0.0000
0.0000 4.7101 0.0000
0.0000 0.0000 4.3719
ATOMIC_POSITIONS angstrom
Al 0.0000 0.0000 0.0000
W 2.3550 2.3550 2.1860
S 0.0000 2.3550 0.0000
S 2.3550 0.0000 0.0000
Cl 0.0000 0.0000 2.1860

=====

We find run a to be the most stable, with the next structure 0.553 eV/atom higher.

=====

Run a
! ZrAlSCl2 | the Alexandria database | PBE | relaxed; values from VASP
! Fermi-level density of states ... 0.98 states/eV/atom
! Magnetic moment ... 0.000 μB per atom
! SG ... P4/mmm
&SYSTEM
  ibrav = 0, nat = 5, ntyp = 4
/
ATOMIC_SPECIES
Zr 91.22 Zr.upf
Al 26.98 Al.upf
S 32.06 S.upf
Cl 35.45 Cl.upf
CELL_PARAMETERS angstrom
4.7942 0.0000 0.0000
0.0000 4.7942 0.0000
0.0000 0.0000 6.0208
ATOMIC_POSITIONS angstrom
Zr 0.0000 0.0000 0.0000
Al 0.0000 0.0000 3.0104
S 2.3971 2.3971 3.0104
Cl 0.0000 2.3971 0.0000
Cl 2.3971 0.0000 0.0000

=====

Run b
! ZrAlSCl2 | the Alexandria database | PBE | relaxed; values from VASP
! Fermi-level density of states ... 0.91 states/eV/atom
! Magnetic moment ... 0.476 μB per atom
! SG ... P4/mmm
&SYSTEM
  ibrav = 0, nat = 5, ntyp = 4
/
ATOMIC_SPECIES
Zr 91.22 Zr.upf
Al 26.98 Al.upf
S 32.06 S.upf
Cl 35.45 Cl.upf
CELL_PARAMETERS angstrom
4.6591 0.0000 0.0000
0.0000 4.6591 0.0000
0.0000 0.0000 4.8083
ATOMIC_POSITIONS angstrom
Zr 0.0000 0.0000 0.0000
Al 2.3295 2.3295 2.4042
S 2.3295 2.3295 0.0000
Cl 0.0000 2.3295 2.4042
Cl 2.3295 0.0000 2.4042

=====

We find run b to be the most stable, with the next structure 0.044 eV/atom higher.

=====

Run a
! AlSb2Cl | the Alexandria database | PBE | relaxed; values from VASP
! Fermi-level density of states ... 0.56 states/eV/atom
! Magnetic moment ... 0.000 μB per atom
! SG ... R-3m
&SYSTEM
  ibrav = 0, nat = 4, ntyp = 3
/
ATOMIC_SPECIES
Al 26.98 Al.upf
Sb 121.76 Sb.upf
Cl 35.45 Cl.upf
CELL_PARAMETERS angstrom
1.7149 0.9901 9.3013
-1.7149 0.9901 9.3013
0.0000 -1.9802 9.3013
ATOMIC_POSITIONS angstrom
Al 0.0000 0.0000 0.0000
Sb 0.0000 0.0000 7.0835
Sb 0.0000 0.0000 20.8205
Cl 0.0000 0.0000 13.9520

=====

Run b
! AlSb2Cl | the Alexandria database | PBE | relaxed; values from VASP
! Fermi-level density of states ... 0.66 states/eV/atom
! Magnetic moment ... 0.000 μB per atom
! SG ... P4mm
&SYSTEM
  ibrav = 0, nat = 4, ntyp = 3
/
ATOMIC_SPECIES
Al 26.98 Al.upf
Sb 121.76 Sb.upf
Cl 35.45 Cl.upf
CELL_PARAMETERS angstrom
3.5334 0.0000 0.0000
0.0000 3.5334 0.0000
0.0000 0.0000 9.1779
ATOMIC_POSITIONS angstrom
Al 0.0000 0.0000 0.0000
Sb 0.0000 0.0000 4.9698
Sb 1.7667 1.7667 6.7470
Cl 1.7667 1.7667 1.3313

=====

We find run b to be the most stable, with the next structure 0.043 eV/atom higher.

=====

Run a
! Al2Sb2Cl | the Alexandria database | PBE | relaxed; values from VASP
! Fermi-level density of states ... 0.26 states/eV/atom
! Magnetic moment ... 0.000 μB per atom
! SG ... I4/mmm
&SYSTEM
  ibrav = 0, nat = 5, ntyp = 3
/
ATOMIC_SPECIES
Al 26.98 Al.upf
Sb 121.76 Sb.upf
Cl 35.45 Cl.upf
CELL_PARAMETERS angstrom
-2.3152 2.3152 5.9256
2.3152 -2.3152 5.9256
2.3152 2.3152 -5.9256
ATOMIC_POSITIONS angstrom
Al 0.0000 0.0000 1.2682
Al 0.0000 0.0000 10.5829
Sb 2.3152 0.0000 2.9628
Sb 0.0000 2.3152 2.9628
Cl 0.0000 0.0000 5.9256

=====

Run b
! Al2Sb2Cl | the Alexandria database | PBE | relaxed; values from VASP
! Fermi-level density of states ... 0.38 states/eV/atom
! Magnetic moment ... 0.000 μB per atom
! SG ... P4/mbm
&SYSTEM
  ibrav = 0, nat = 10, ntyp = 3
/
ATOMIC_SPECIES
Al 26.98 Al.upf
Sb 121.76 Sb.upf
Cl 35.45 Cl.upf
CELL_PARAMETERS angstrom
8.2902 0.0000 0.0000
0.0000 8.2902 0.0000
0.0000 0.0000 3.3222
ATOMIC_POSITIONS angstrom
Al 1.2583 2.8868 0.0000
Al 2.8868 7.0319 0.0000
Al 5.4034 1.2583 0.0000
Al 7.0319 5.4034 0.0000
Sb 1.2106 5.3557 1.6611
Sb 2.9345 1.2106 1.6611
Sb 5.3557 7.0796 1.6611
Sb 7.0796 2.9345 1.6611
Cl 0.0000 0.0000 0.0000
Cl 4.1451 4.1451 0.0000

=====

We find run a to be the most stable, with the next structure 0.060 eV/atom higher.

=====

Run a
! AlSb3Cl | the Alexandria database | PBE | relaxed; values from VASP
! Fermi-level density of states ... 1.22 states/eV/atom
! Magnetic moment ... 0.000 μB per atom
! SG ... Pm-3m
&SYSTEM
  ibrav = 0, nat = 5, ntyp = 3
/
ATOMIC_SPECIES
Al 26.98 Al.upf
Sb 121.76 Sb.upf
Cl 35.45 Cl.upf
CELL_PARAMETERS angstrom
5.2940 0.0000 0.0000
0.0000 5.2940 0.0000
0.0000 0.0000 5.2940
ATOMIC_POSITIONS angstrom
Al 0.0000 0.0000 0.0000
Sb 0.0000 0.0000 2.6470
Sb 0.0000 2.6470 0.0000
Sb 2.6470 0.0000 0.0000
Cl 2.6470 2.6470 2.6470

=====

Run b
! AlSb3Cl | the Alexandria database | PBE | relaxed; values from VASP
! Fermi-level density of states ... 1.54 states/eV/atom
! Magnetic moment ... 0.000 μB per atom
! SG ... Pm-3m
&SYSTEM
  ibrav = 0, nat = 5, ntyp = 3
/
ATOMIC_SPECIES
Al 26.98 Al.upf
Sb 121.76 Sb.upf
Cl 35.45 Cl.upf
CELL_PARAMETERS angstrom
5.3512 0.0000 0.0000
0.0000 5.3512 0.0000
0.0000 0.0000 5.3512
ATOMIC_POSITIONS angstrom
Al 0.0000 0.0000 0.0000
Sb 0.0000 2.6756 2.6756
Sb 2.6756 0.0000 2.6756
Sb 2.6756 2.6756 0.0000
Cl 2.6756 2.6756 2.6756

=====

We find run a to be the most stable, with the next structure 0.439 eV/atom higher.

=====

Run a
! ScAlCl | the Alexandria database | PBE | relaxed; values from VASP
! Fermi-level density of states ... 0.90 states/eV/atom
! Magnetic moment ... 0.000 μB per atom
! SG ... P3m1
&SYSTEM
  ibrav = 0, nat = 3, ntyp = 3
/
ATOMIC_SPECIES
Sc 44.96 Sc.upf
Al 26.98 Al.upf
Cl 35.45 Cl.upf
CELL_PARAMETERS angstrom
3.3181 0.0000 0.0000
-1.6590 2.8735 0.0000
0.0000 0.0000 7.3623
ATOMIC_POSITIONS angstrom
Sc 0.0000 0.0000 0.0000
Al 1.6590 0.9578 2.1498
Cl 0.0000 1.9157 5.6611

=====

Run b
! ScAlCl | the Alexandria database | PBE | relaxed; values from VASP
! Fermi-level density of states ... 0.51 states/eV/atom
! Magnetic moment ... 0.000 μB per atom
! SG ... P-6m2
&SYSTEM
  ibrav = 0, nat = 3, ntyp = 3
/
ATOMIC_SPECIES
Sc 44.96 Sc.upf
Al 26.98 Al.upf
Cl 35.45 Cl.upf
CELL_PARAMETERS angstrom
4.5156 0.0000 0.0000
-2.2578 3.9106 0.0000
0.0000 0.0000 3.5040
ATOMIC_POSITIONS angstrom
Sc 0.0000 0.0000 0.0000
Al 0.0000 2.6071 1.7520
Cl 2.2578 1.3035 0.0000

=====

Run c
! ScAlCl | the Alexandria database | PBE | relaxed; values from VASP
! Fermi-level density of states ... 1.04 states/eV/atom
! Magnetic moment ... 0.045 μB per atom
! SG ... I4mm
&SYSTEM
  ibrav = 0, nat = 3, ntyp = 3
/
ATOMIC_SPECIES
Sc 44.96 Sc.upf
Al 26.98 Al.upf
Cl 35.45 Cl.upf
CELL_PARAMETERS angstrom
-1.5868 1.5868 7.5412
1.5868 -1.5868 7.5412
1.5868 1.5868 -7.5412
ATOMIC_POSITIONS angstrom
Sc 0.0000 0.0000 0.0000
Al 0.0000 0.0000 5.6644
Cl 0.0000 0.0000 9.0962

=====

We find run a to be the most stable, with the next structure 0.087 eV/atom higher.